[1]
VASP calculation (PBE) on crystalline PmPrLuTh at its relaxed geometry.

abc: 8.092 8.092 8.092
angles: 90.00 90.00 90.00
Space group F-43m (No. 216)
One atom of each set of equivalent atoms:
1 Pm 0.000 0.000 0.000 [4 per cell]
2 Pr 0.250 0.250 0.250 [4 per cell]
3 Lu 0.000 0.000 0.500 [4 per cell]
4 Th 0.250 0.250 0.750 [4 per cell]

Its formation enthalpy at 0 K is 153 meV/atom.

---

[2]
VASP calculation (PBE) on crystalline NaPd3Pb at its relaxed geometry.

abc: 7.0023 7.0023 15.0200
angles: 90.00 90.00 120.00
Space group R3c (No. 161, hexagonal axes)
One atom of each set of equivalent atoms:
1 Na 0.0000 0.0000 0.0000 [6 per cell]
2 Pd 0.0261 0.2459 0.3422 [18 per cell]
3 Pb 0.0000 0.0000 0.1956 [6 per cell]

Its formation enthalpy at 0 K is 53 meV/atom. For the offset from the most stable computed form, the calculation gives 0.000 eV/atom.

---

[3]
VASP calculation (PBE) on crystalline PmTm2Sb at its relaxed geometry.

abc: 4.809 4.809 4.737
angles: 90.00 90.00 90.00
Space group P4/mmm (No. 123)
One atom of each set of equivalent atoms:
1 Pm 0.000 0.000 0.000 [1 per cell]
2 Tm 0.000 0.500 0.500 [2 per cell]
3 Sb 0.500 0.500 0.000 [1 per cell]

For the offset from the most stable computed form, the calculation gives 0.130 eV/atom. The calculation puts the uncorrected formation energy at -466 meV per atom.

---

[4]
VASP calculation (PBE) on crystalline K2LaSbF at its relaxed geometry.

abc: 4.792 4.792 7.762
angles: 90.00 90.00 90.00
Space group P4/mmm (No. 123)
One atom of each set of equivalent atoms:
1 K 0.000 0.500 0.000 [2 per cell]
2 La 0.000 0.000 0.500 [1 per cell]
3 Sb 0.500 0.500 0.500 [1 per cell]
4 F 0.500 0.500 0.000 [1 per cell]

The calculation puts the uncorrected formation energy at -1155 meV per atom.